# Mn2CdReAu

A relaxed Mn2CdReAu crystal (PBE, Alexandria via LeMat-Bulk). Values from VASP.

Quantum ESPRESSO input file:
```
&SYSTEM
  ibrav = 0, nat = 5, ntyp = 4
/
ATOMIC_SPECIES
Mn 54.94 Mn.upf
Re 186.21 Re.upf
Au 196.97 Au.upf
Cd 112.41 Cd.upf
ATOMIC_POSITIONS crystal
Mn 0.500 0.000 0.000
Re 0.000 0.500 0.000
Au 0.000 0.000 0.000
Cd 0.500 0.500 0.500
Mn 0.000 0.000 0.500
CELL_PARAMETERS angstrom
4.678 0.000 0.000
0.000 4.987 0.000
0.000 0.000 4.678
```

SG: P4/mmm
Total DFT energy (no corrections), eV for the cell shown: -24.00
Energy of formation, eV per atom: 2.20
N(E_F), states/eV/cell: 7.2
Total magnetic moment, μB per formula unit: 2.5